Computed, not measured: a geometry-optimized Cr8Cu3NiS16 structure at the PBEsol level of DFT.

As for the total energy: -6.766 eV per atom. The space group is No. 160.

```
28
Lattice="3.405 1.966 11.141 -3.405 1.966 11.141 0.000 -3.932 11.141" Properties=species:S:1:pos:R:3 pbc="T T T"
Cr 0.000 0.000 0.000
Cr -1.717 -0.991 19.472
Cr 0.000 -1.935 13.942
Cr -1.676 0.967 13.942
Cr 0.000 0.000 16.643
Cr 1.676 0.967 13.942
Cr 1.717 -0.991 19.472
Cr 0.000 1.982 19.472
Cu 0.000 0.000 6.252
Cu 0.000 0.000 10.425
Cu 0.000 0.000 22.963
Ni 0.000 0.000 27.148
S 0.000 -2.084 9.694
S -1.804 1.042 9.694
S 0.000 0.000 4.038
S -1.651 -0.953 15.290
S -1.807 -1.043 23.728
S 0.000 0.000 12.639
S 0.000 -1.838 18.115
S -1.591 0.919 18.115
S 1.651 -0.953 15.290
S 0.000 1.906 15.290
S 0.000 0.000 20.738
S 1.804 1.042 9.694
S 1.591 0.919 18.115
S 0.000 0.000 29.296
S 1.807 -1.043 23.728
S 0.000 2.086 23.728
```

=====

Computed, not measured: a geometry-optimized Cr4CuNiSe8 structure at the PBEsol level of DFT.

As for the total energy: -6.309 eV per atom. The space group is No. 216.

```
14
Lattice="0.000 5.075 5.075 5.075 0.000 5.075 5.075 5.075 0.000" Properties=species:S:1:pos:R:3 pbc="T T T"
Cr 3.823 3.823 3.823
Cr 6.327 6.327 3.823
Cr 6.327 3.823 6.327
Cr 3.823 6.327 6.327
Cu 0.000 0.000 0.000
Ni 7.613 7.613 7.613
Se 1.348 1.348 1.348
Se 3.727 3.727 1.348
Se 3.727 1.348 3.727
Se 6.301 3.849 3.849
Se 1.348 3.727 3.727
Se 3.849 6.301 3.849
Se 3.849 3.849 6.301
Se 6.301 6.301 6.301
```